No. 1
TaCd2W after structural relaxation, computed with PBE.

```
TaCd2W
1.0
2.800 0.000 0.000
0.000 4.400 0.000
0.000 0.000 6.137
Ta Cd W
1 2 1
Direct
0.000 0.000 0.000
0.000 0.000 0.478
0.500 0.500 0.724
0.500 0.500 0.207
```

Calculated values
- E above lowest polymorph: 0.858 eV per formula unit
- DFT formation energy: 44.2 kJ per mole of atoms
- Total energy: -24.805 eV per cell

No. 2
TaCd2W after structural relaxation, computed with PBE.

```
TaCd2W
1.0
-2.096 2.096 4.201
2.096 -2.096 4.201
2.096 2.096 -4.201
Ta Cd W
1 2 1
Direct
0.000 0.000 0.000
0.500 0.500 0.000
0.750 0.250 0.500
0.250 0.750 0.500
```

Calculated values
- E above lowest polymorph: 1.453 eV per formula unit
- DFT formation energy: 58.5 kJ per mole of atoms
- Total energy: -24.210 eV per cell